Entry 1:
Density functional theory data (GGA-PBE) for a relaxed structure of Pm2SmErSc.

Cell: 8.578 8.578 6.439 Å, 90.00 90.00 135.96°
Sites, in units of the cell vectors:
Pm1 0.249 0.249 0.000
Pm2 0.249 0.249 0.500
Pm3 0.751 0.751 0.000
Pm4 0.751 0.751 0.500
Sm1 0.338 0.662 0.750
Sm2 0.662 0.338 0.250
Er1 0.249 0.751 0.250
Er2 0.751 0.249 0.750
Sc1 0.154 0.846 0.750
Sc2 0.846 0.154 0.250

Computed properties:
Its magnetization is 0.000 μB per cell. Its formation energy is 0.38 eV per atom. For the total DFT energy (no corrections), the calculation gives -4.647 eV per atom. Its space-group type is No. 63.

Entry 2:
Density functional theory data (GGA-PBE) for a relaxed structure of PmSmErSc.

Cell: 7.898 7.898 7.898 Å, 90.00 90.00 90.00°
Sites, in units of the cell vectors:
Pm1 0.000 0.000 0.000
Pm2 0.000 0.500 0.500
Pm3 0.500 0.000 0.500
Pm4 0.500 0.500 0.000
Sm1 0.000 0.000 0.500
Sm2 0.000 0.500 0.000
Sm3 0.500 0.000 0.000
Sm4 0.500 0.500 0.500
Er1 0.250 0.250 0.250
Er2 0.250 0.750 0.750
Er3 0.750 0.250 0.750
Er4 0.750 0.750 0.250
Sc1 0.250 0.250 0.750
Sc2 0.250 0.750 0.250
Sc3 0.750 0.250 0.250
Sc4 0.750 0.750 0.750

Computed properties:
The energy above the most stable polymorph in this dataset is 4.4 meV per atom. Its magnetization is 0.000 μB per cell. Its formation energy is 0.10 eV per atom. For the total DFT energy (no corrections), the calculation gives -4.990 eV per atom. Its space-group type is No. 216.

Entry 3:
Density functional theory data (GGA-PBE) for a relaxed structure of PmSm2Er4Sc.

Cell: 9.385 9.385 6.730 Å, 111.00 111.00 88.36°
Sites, in units of the cell vectors:
Pm1 0.000 0.500 0.000
Pm2 0.500 0.000 0.500
Sm1 0.000 0.000 0.000
Sm2 0.000 0.000 0.500
Sm3 0.000 0.500 0.500
Sm4 0.500 0.000 0.000
Er1 0.263 0.737 0.000
Er2 0.263 0.737 0.500
Er3 0.265 0.265 0.016
Er4 0.265 0.265 0.516
Er5 0.735 0.735 0.484
Er6 0.735 0.735 0.984
Er7 0.737 0.263 0.000
Er8 0.737 0.263 0.500
Sc1 0.500 0.500 0.000
Sc2 0.500 0.500 0.500

Computed properties:
Its magnetization is 3.891 μB per cell. Its formation energy is 0.43 eV per atom. For the total DFT energy (no corrections), the calculation gives -4.418 eV per atom. Its space-group type is No. 15.

Entry 4:
Density functional theory data (GGA-PBE) for a relaxed structure of Pm6SmErSc2.

Cell: 8.759 8.759 9.521 Å, 93.95 93.95 117.21°
Sites, in units of the cell vectors:
Pm1 0.010 0.557 0.182
Pm2 0.110 0.761 0.553
Pm3 0.239 0.890 0.947
Pm4 0.299 0.509 0.383
Pm5 0.443 0.990 0.318
Pm6 0.491 0.701 0.117
Pm7 0.509 0.299 0.883
Pm8 0.557 0.010 0.682
Pm9 0.701 0.491 0.617
Pm10 0.761 0.110 0.053
Pm11 0.890 0.239 0.447
Pm12 0.990 0.443 0.818
Sm1 0.031 0.969 0.250
Sm2 0.969 0.031 0.750
Er1 0.409 0.591 0.750
Er2 0.591 0.409 0.250
Sc1 0.200 0.299 0.050
Sc2 0.299 0.200 0.550
Sc3 0.701 0.800 0.450
Sc4 0.800 0.701 0.950

Computed properties:
Its magnetization is 0.000 μB per cell. Its formation energy is 0.12 eV per atom. For the total DFT energy (no corrections), the calculation gives -4.920 eV per atom. Its space-group type is No. 15.

Entry 5:
Density functional theory data (GGA-PBE) for a relaxed structure of PmSm6Er2Sc.

Cell: 8.863 8.863 9.343 Å, 92.94 92.94 116.97°
Sites, in units of the cell vectors:
Pm1 0.028 0.972 0.750
Pm2 0.972 0.028 0.250
Sm1 0.007 0.444 0.307
Sm2 0.122 0.766 0.053
Sm3 0.234 0.878 0.447
Sm4 0.290 0.516 0.888
Sm5 0.444 0.007 0.807
Sm6 0.484 0.710 0.612
Sm7 0.516 0.290 0.388
Sm8 0.556 0.993 0.193
Sm9 0.710 0.484 0.112
Sm10 0.766 0.122 0.553
Sm11 0.878 0.234 0.947
Sm12 0.993 0.556 0.693
Er1 0.207 0.307 0.551
Er2 0.307 0.207 0.051
Er3 0.693 0.793 0.949
Er4 0.793 0.693 0.449
Sc1 0.420 0.580 0.250
Sc2 0.580 0.420 0.750

Computed properties:
Its magnetization is 0.000 μB per cell. Its formation energy is 0.13 eV per atom. For the total DFT energy (no corrections), the calculation gives -4.724 eV per atom. Its space-group type is No. 15.

Entry 6:
Density functional theory data (GGA-PBE) for a relaxed structure of PmSm2ErSc.

Cell: 8.584 8.584 6.420 Å, 90.00 90.00 136.11°
Sites, in units of the cell vectors:
Pm1 0.162 0.838 0.750
Pm2 0.838 0.162 0.250
Sm1 0.251 0.251 0.000
Sm2 0.251 0.251 0.500
Sm3 0.749 0.749 0.000
Sm4 0.749 0.749 0.500
Er1 0.251 0.749 0.250
Er2 0.749 0.251 0.750
Sc1 0.346 0.654 0.750
Sc2 0.654 0.346 0.250

Computed properties:
Its magnetization is 0.001 μB per cell. Its formation energy is 0.37 eV per atom. For the total DFT energy (no corrections), the calculation gives -4.644 eV per atom. Its space-group type is No. 63.

Entry 7:
Density functional theory data (GGA-PBE) for a relaxed structure of Pm3Sm6Er2Sc.

Cell: 6.221 6.221 11.834 Å, 95.02 95.02 120.00°
Sites, in units of the cell vectors:
Pm1 0.000 0.000 0.000
Pm2 0.333 0.667 0.000
Pm3 0.667 0.333 0.000
Sm1 0.088 0.419 0.257
Sm2 0.250 0.250 0.744
Sm3 0.419 0.088 0.257
Sm4 0.581 0.912 0.743
Sm5 0.750 0.750 0.256
Sm6 0.912 0.581 0.743
Er1 0.167 0.833 0.500
Er2 0.833 0.167 0.500
Sc1 0.500 0.500 0.500

Computed properties:
Its magnetization is 0.000 μB per cell. Its formation energy is 0.03 eV per atom. For the total DFT energy (no corrections), the calculation gives -4.806 eV per atom. Its space-group type is No. 12.

Entry 8:
Density functional theory data (GGA-PBE) for a relaxed structure of Pm6SmEr2Sc.

Cell: 8.899 8.899 9.374 Å, 93.04 93.04 117.16°
Sites, in units of the cell vectors:
Pm1 0.008 0.443 0.806
Pm2 0.122 0.767 0.553
Pm3 0.233 0.878 0.947
Pm4 0.290 0.516 0.388
Pm5 0.443 0.008 0.306
Pm6 0.484 0.710 0.112
Pm7 0.516 0.290 0.888
Pm8 0.557 0.992 0.694
Pm9 0.710 0.484 0.612
Pm10 0.767 0.122 0.053
Pm11 0.878 0.233 0.447
Pm12 0.992 0.557 0.194
Sm1 0.027 0.973 0.250
Sm2 0.973 0.027 0.750
Er1 0.207 0.306 0.050
Er2 0.306 0.207 0.550
Er3 0.694 0.793 0.450
Er4 0.793 0.694 0.950
Sc1 0.420 0.580 0.750
Sc2 0.580 0.420 0.250

Computed properties:
Its magnetization is 0.000 μB per cell. Its formation energy is 0.13 eV per atom. For the total DFT energy (no corrections), the calculation gives -4.741 eV per atom. Its space-group type is No. 15.

Entry 9:
Density functional theory data (GGA-PBE) for a relaxed structure of PmErScSn.

Cell: 7.499 7.499 7.499 Å, 90.00 90.00 90.00°
Sites, in units of the cell vectors:
Pm1 0.000 0.000 0.000
Pm2 0.000 0.500 0.500
Pm3 0.500 0.000 0.500
Pm4 0.500 0.500 0.000
Er1 0.250 0.250 0.750
Er2 0.250 0.750 0.250
Er3 0.750 0.250 0.250
Er4 0.750 0.750 0.750
Sc1 0.250 0.250 0.250
Sc2 0.250 0.750 0.750
Sc3 0.750 0.250 0.750
Sc4 0.750 0.750 0.250
Sn1 0.000 0.000 0.500
Sn2 0.000 0.500 0.000
Sn3 0.500 0.000 0.000
Sn4 0.500 0.500 0.500

Computed properties:
Its magnetization is 6.147 μB per cell. Its formation energy is -0.21 eV per atom. For the total DFT energy (no corrections), the calculation gives -5.122 eV per atom. Its space-group type is No. 216.

Entry 10:
Density functional theory data (GGA-PBE) for a relaxed structure of TbPmEr5Sc2.

Cell: 10.997 10.997 9.306 Å, 90.00 90.00 150.74°
Sites, in units of the cell vectors:
Tb1 0.188 0.812 0.500
Tb2 0.812 0.188 0.000
Pm1 0.403 0.597 0.898
Pm2 0.597 0.403 0.398
Er1 0.008 0.992 0.502
Er2 0.265 0.735 0.816
Er3 0.307 0.693 0.202
Er4 0.391 0.609 0.524
Er5 0.469 0.531 0.229
Er6 0.531 0.469 0.729
Er7 0.609 0.391 0.024
Er8 0.693 0.307 0.702
Er9 0.735 0.265 0.316
Er10 0.992 0.008 0.002
Sc1 0.113 0.887 0.805
Sc2 0.141 0.859 0.176
Sc3 0.859 0.141 0.676
Sc4 0.887 0.113 0.305

Computed properties:
Its magnetization is 0.000 μB per cell. Its formation energy is 0.17 eV per atom. For the total DFT energy (no corrections), the calculation gives -4.813 eV per atom. Its space-group type is No. 36.

Entry 11:
Density functional theory data (GGA-PBE) for a relaxed structure of Tb3Pm6Er2Sc.

Cell: 6.206 6.206 11.736 Å, 95.04 95.04 119.99°
Sites, in units of the cell vectors:
Tb1 0.000 0.000 0.000
Tb2 0.333 0.667 0.000
Tb3 0.667 0.333 0.000
Pm1 0.087 0.418 0.254
Pm2 0.251 0.251 0.746
Pm3 0.418 0.087 0.254
Pm4 0.582 0.913 0.746
Pm5 0.749 0.749 0.254
Pm6 0.913 0.582 0.746
Er1 0.167 0.833 0.500
Er2 0.833 0.167 0.500
Sc1 0.500 0.500 0.500

Computed properties:
Its magnetization is 0.000 μB per cell. Its formation energy is 0.02 eV per atom. For the total DFT energy (no corrections), the calculation gives -4.797 eV per atom. Its space-group type is No. 12.

Entry 12:
Density functional theory data (GGA-PBE) for a relaxed structure of TbPmEr2Sc2.

Cell: 6.747 9.504 5.478 Å, 90.00 90.00 90.00°
Sites, in units of the cell vectors:
Tb1 0.000 0.000 0.000
Tb2 0.500 0.500 0.500
Pm1 0.000 0.500 0.500
Pm2 0.500 0.000 0.000
Er1 0.249 0.167 0.500
Er2 0.251 0.667 0.000
Er3 0.749 0.333 0.000
Er4 0.751 0.833 0.500
Sc1 0.250 0.333 0.000
Sc2 0.250 0.833 0.500
Sc3 0.750 0.167 0.500
Sc4 0.750 0.667 0.000

Computed properties:
Its magnetization is 0.000 μB per cell. Its formation energy is 0.08 eV per atom. For the total DFT energy (no corrections), the calculation gives -5.117 eV per atom. Its space-group type is No. 58.

Entry 13:
Density functional theory data (GGA-PBE) for a relaxed structure of Tb2Pm6Er3Sc.

Cell: 6.197 6.197 11.720 Å, 95.04 95.04 119.99°
Sites, in units of the cell vectors:
Tb1 0.167 0.833 0.000
Tb2 0.833 0.167 0.000
Pm1 0.087 0.417 0.751
Pm2 0.252 0.252 0.249
Pm3 0.417 0.087 0.751
Pm4 0.583 0.913 0.249
Pm5 0.748 0.748 0.751
Pm6 0.913 0.583 0.249
Er1 0.000 0.000 0.500
Er2 0.334 0.666 0.500
Er3 0.666 0.334 0.500
Sc1 0.500 0.500 0.000

Computed properties:
Its magnetization is 0.000 μB per cell. Its formation energy is 0.02 eV per atom. For the total DFT energy (no corrections), the calculation gives -4.792 eV per atom. Its space-group type is No. 12.

Entry 14:
Density functional theory data (GGA-PBE) for a relaxed structure of Tb2PmEr5Sc.

Cell: 10.182 10.182 10.348 Å, 90.00 90.00 148.45°
Sites, in units of the cell vectors:
Tb1 0.111 0.889 0.500
Tb2 0.114 0.886 0.920
Tb3 0.886 0.114 0.420
Tb4 0.889 0.111 0.000
Pm1 0.413 0.587 0.640
Pm2 0.587 0.413 0.140
Er1 0.019 0.981 0.205
Er2 0.277 0.723 0.507
Er3 0.298 0.702 0.891
Er4 0.377 0.623 0.205
Er5 0.481 0.519 0.924
Er6 0.519 0.481 0.424
Er7 0.623 0.377 0.705
Er8 0.702 0.298 0.391
Er9 0.723 0.277 0.007
Er10 0.981 0.019 0.705
Sc1 0.197 0.803 0.199
Sc2 0.803 0.197 0.699

Computed properties:
Its magnetization is 0.001 μB per cell. Its formation energy is 0.17 eV per atom. For the total DFT energy (no corrections), the calculation gives -4.626 eV per atom. Its space-group type is No. 36.

Entry 15:
Density functional theory data (GGA-PBE) for a relaxed structure of TbPm5ErSc2.

Cell: 10.568 10.568 10.333 Å, 90.00 90.00 149.60°
Sites, in units of the cell vectors:
Tb1 0.191 0.809 0.500
Tb2 0.809 0.191 0.000
Pm1 0.011 0.989 0.497
Pm2 0.272 0.728 0.804
Pm3 0.302 0.698 0.195
Pm4 0.382 0.618 0.508
Pm5 0.480 0.520 0.226
Pm6 0.520 0.480 0.726
Pm7 0.618 0.382 0.008
Pm8 0.698 0.302 0.695
Pm9 0.728 0.272 0.304
Pm10 0.989 0.011 0.997
Er1 0.406 0.594 0.933
Er2 0.594 0.406 0.433
Sc1 0.111 0.889 0.788
Sc2 0.115 0.885 0.224
Sc3 0.885 0.115 0.724
Sc4 0.889 0.111 0.288

Computed properties:
Its magnetization is 0.000 μB per cell. Its formation energy is 0.17 eV per atom. For the total DFT energy (no corrections), the calculation gives -4.894 eV per atom. Its space-group type is No. 36.

Entry 16:
Density functional theory data (GGA-PBE) for a relaxed structure of Tb2PmEr6Sc3.

Cell: 6.023 6.023 11.439 Å, 95.03 95.03 119.96°
Sites, in units of the cell vectors:
Tb1 0.167 0.833 0.000
Tb2 0.833 0.167 0.000
Pm1 0.500 0.500 0.000
Er1 0.079 0.413 0.740
Er2 0.253 0.253 0.260
Er3 0.413 0.079 0.740
Er4 0.587 0.921 0.260
Er5 0.747 0.747 0.740
Er6 0.921 0.587 0.260
Sc1 0.000 0.000 0.500
Sc2 0.333 0.667 0.500
Sc3 0.667 0.333 0.500

Computed properties:
Its magnetization is 0.001 μB per cell. Its formation energy is 0.04 eV per atom. For the total DFT energy (no corrections), the calculation gives -4.988 eV per atom. Its space-group type is No. 12.

Entry 17:
Density functional theory data (GGA-PBE) for a relaxed structure of Tb5Pm2ErSc.

Cell: 10.452 10.452 10.362 Å, 90.00 90.00 149.26°
Sites, in units of the cell vectors:
Tb1 0.016 0.984 0.500
Tb2 0.127 0.873 0.222
Tb3 0.201 0.799 0.539
Tb4 0.226 0.774 0.920
Tb5 0.484 0.516 0.227
Tb6 0.516 0.484 0.727
Tb7 0.774 0.226 0.420
Tb8 0.799 0.201 0.039
Tb9 0.873 0.127 0.722
Tb10 0.984 0.016 0.000
Pm1 0.385 0.615 0.506
Pm2 0.387 0.613 0.929
Pm3 0.613 0.387 0.429
Pm4 0.615 0.385 0.006
Er1 0.094 0.906 0.783
Er2 0.906 0.094 0.283
Sc1 0.306 0.694 0.227
Sc2 0.694 0.306 0.727

Computed properties:
Its magnetization is 0.000 μB per cell. Its formation energy is 0.15 eV per atom. For the total DFT energy (no corrections), the calculation gives -4.686 eV per atom. Its space-group type is No. 36.

Entry 18:
Density functional theory data (GGA-PBE) for a relaxed structure of Tb6Pm3Er2Sc.

Cell: 6.155 6.155 11.754 Å, 95.00 95.00 119.98°
Sites, in units of the cell vectors:
Tb1 0.081 0.412 0.244
Tb2 0.250 0.250 0.756
Tb3 0.412 0.081 0.244
Tb4 0.588 0.919 0.756
Tb5 0.750 0.750 0.244
Tb6 0.919 0.588 0.756
Pm1 0.167 0.833 0.500
Pm2 0.500 0.500 0.500
Pm3 0.833 0.167 0.500
Er1 0.334 0.666 0.000
Er2 0.666 0.334 0.000
Sc1 0.000 0.000 0.000

Computed properties:
Its magnetization is 0.000 μB per cell. Its formation energy is 0.03 eV per atom. For the total DFT energy (no corrections), the calculation gives -4.763 eV per atom. Its space-group type is No. 12.

Entry 19:
Density functional theory data (GGA-PBE) for a relaxed structure of TbPm2Er6Sc3.

Cell: 6.039 6.039 11.455 Å, 95.04 95.04 119.98°
Sites, in units of the cell vectors:
Tb1 0.000 0.000 0.000
Pm1 0.333 0.667 0.000
Pm2 0.667 0.333 0.000
Er1 0.087 0.420 0.261
Er2 0.246 0.246 0.739
Er3 0.420 0.087 0.261
Er4 0.580 0.913 0.739
Er5 0.754 0.754 0.261
Er6 0.913 0.580 0.739
Sc1 0.167 0.833 0.500
Sc2 0.500 0.500 0.500
Sc3 0.833 0.167 0.500

Computed properties:
Its magnetization is 0.000 μB per cell. Its formation energy is 0.04 eV per atom. For the total DFT energy (no corrections), the calculation gives -4.997 eV per atom. Its space-group type is No. 12.